Record 1
A plane-wave DFT calculation with PBE was carried out for a relaxed KCeTa2O8 crystal.

abc: 6.4066 6.4066 6.4066
angles: 106.26 106.26 116.11
Last column: nearest neighbours and their distance in Å.
Sites, in units of the cell vectors:
K  0.0000  0.0000  0.0000  8 O 2.54-2.82
Ce  0.7500  0.2500  0.5000  8 O 2.38-2.48
Ta  0.2500  0.7500  0.5000  4 O 1.86
Ta  0.5000  0.5000  0.0000  4 O 1.87
O  0.0585  0.3844  0.3259  1 Ta 1.86
O  0.0585  0.7326  0.6741  1 Ta 1.86
O  0.1438  0.3469  0.7970  1 Ta 1.87
O  0.2674  0.9415  0.3259  1 Ta 1.86
O  0.5499  0.3469  0.2030  1 Ta 1.87
O  0.6156  0.9415  0.6741  1 Ta 1.86
O  0.6531  0.4501  0.7970  1 Ta 1.87
O  0.6531  0.8562  0.2030  1 Ta 1.87

* symmetry: No. 119
* raw total energy: -100.47 eV/cell

---

Record 2
A plane-wave DFT calculation with PBE was carried out for a relaxed Cs2InIBr6 crystal.

abc: 8.5551 8.5551 8.5551
angles: 123.05 123.05 84.80
Last column: nearest neighbours and their distance in Å.
Sites, in units of the cell vectors:
Cs  0.2500  0.7500  0.5000  12 Br 4.10-4.28
Cs  0.7500  0.2500  0.5000  12 Br 4.10-4.28
In  0.0000  0.0000  0.0000  6 Br 2.71-2.74
I  0.5000  0.5000  0.0000  4 Br 3.03
Br  0.2143  0.2143  0.0000  1 In 2.71
Br  0.2377  0.2377  0.4755  1 In 2.74, 1 I 3.03
Br  0.2377  0.7623  0.0000  1 In 2.74, 1 I 3.03
Br  0.7623  0.2377  0.0000  1 In 2.74, 1 I 3.03
Br  0.7623  0.7623  0.5245  1 In 2.74, 1 I 3.03
Br  0.7857  0.7857  0.0000  1 In 2.71

* symmetry: No. 139
* raw total energy: -25.72 eV/cell

---

Record 3
A plane-wave DFT calculation with PBE was carried out for a relaxed Nb3RuS6 crystal.

abc: 5.8386 5.8409 6.8269
angles: 64.78 64.72 60.07
Last column: nearest neighbours and their distance in Å.
Sites, in units of the cell vectors:
Nb  0.0000  0.0000  0.0000  6 S 2.50
Nb  0.3333  0.3260  0.0070  6 S 2.48-2.55
Nb  0.6667  0.6740  0.9930  6 S 2.48-2.55
Ru  0.5000  0.5000  0.5000  6 S 2.39-2.40
S  0.0892  0.7553  0.7348  1 Ru 2.39, 3 Nb 2.48-2.55
S  0.2436  0.5794  0.2650  1 Ru 2.40, 3 Nb 2.50-2.54
S  0.4209  0.0879  0.7322  1 Ru 2.40, 3 Nb 2.48-2.53
S  0.5791  0.9121  0.2678  1 Ru 2.40, 3 Nb 2.48-2.53
S  0.7564  0.4206  0.7350  1 Ru 2.40, 3 Nb 2.50-2.54
S  0.9108  0.2447  0.2652  1 Ru 2.39, 3 Nb 2.48-2.55

* symmetry: No. 2
* raw total energy: -73.35 eV/cell

---

Record 4
A plane-wave DFT calculation with PBE was carried out for a relaxed Ta2CoPb crystal.

abc: 3.1524 3.1563 7.6149
angles: 90.00 96.55 90.00
Last column: nearest neighbours and their distance in Å.
Sites, in units of the cell vectors:
Ta  0.0000  0.0000  0.0000  4 Co 2.51-2.54
Ta  0.4227  0.5000  0.7537  8 Ta 2.89-3.16, 1 Co 3.05, 2 Pb 3.11
Co  0.5501  0.5000  0.1568  4 Ta 2.51-2.54
Pb  0.9579  0.0000  0.4362  2 Co 2.84, 2 Ta 3.11, 4 Pb 3.15-3.16

* symmetry: No. 6
* raw total energy: -33.63 eV/cell

---

Record 5
A plane-wave DFT calculation with PBE was carried out for a relaxed CaReN3 crystal.

abc: 5.6215 5.6215 3.7521
angles: 96.34 96.34 31.80
Last column: nearest neighbours and their distance in Å.
Sites, in units of the cell vectors:
Ca  0.0000  0.0000  0.0000  6 N 2.50-2.60
Re  0.7256  0.7256  0.5257  3 N 1.81-2.01
N  0.2728  0.2728  0.2265  1 N 1.42
N  0.3061  0.3061  0.8711  1 N 1.42
N  0.5582  0.5582  0.5160  1 Re 1.81

* symmetry: No. 8
* raw total energy: -40.55 eV/cell

---

Record 6
A plane-wave DFT calculation with PBE was carried out for a relaxed Tb6HoEr2Mg crystal.

abc: 8.6171 8.6171 9.4927
angles: 94.35 94.35 116.46
Last column: nearest neighbours and their distance in Å.
Sites, in units of the cell vectors:
Tb  0.0076  0.5655  0.1882  5 Tb 3.27-3.65, 1 Mg 3.32, 2 Er 3.36-3.60, 1 Ho 3.52
Tb  0.1217  0.7565  0.5517  7 Tb 3.42-3.77, 1 Er 3.42, 2 Ho 3.52-3.82, 1 Mg 3.78
Tb  0.2435  0.8783  0.9483  7 Tb 3.42-3.77, 1 Er 3.42, 2 Ho 3.52-3.82, 1 Mg 3.78
Tb  0.2971  0.5027  0.3863  3 Er 3.15-3.37, 4 Tb 3.27-3.51, 2 Mg 3.34-3.44
Tb  0.4345  0.9924  0.3118  5 Tb 3.27-3.65, 1 Mg 3.32, 2 Er 3.36-3.60, 1 Ho 3.52
Tb  0.4973  0.7029  0.1137  3 Er 3.15-3.37, 4 Tb 3.27-3.51, 2 Mg 3.34-3.44
Tb  0.5027  0.2971  0.8863  3 Er 3.15-3.37, 4 Tb 3.27-3.51, 2 Mg 3.34-3.44
Tb  0.5655  0.0076  0.6882  5 Tb 3.27-3.65, 1 Mg 3.32, 2 Er 3.36-3.60, 1 Ho 3.52
Tb  0.7029  0.4973  0.6137  3 Er 3.15-3.37, 4 Tb 3.27-3.51, 2 Mg 3.34-3.44
Tb  0.7565  0.1217  0.0517  7 Tb 3.42-3.77, 1 Er 3.42, 2 Ho 3.52-3.82, 1 Mg 3.78
Tb  0.8783  0.2435  0.4483  7 Tb 3.42-3.77, 1 Er 3.42, 2 Ho 3.52-3.82, 1 Mg 3.78
Tb  0.9924  0.4345  0.8118  5 Tb 3.27-3.65, 1 Mg 3.32, 2 Er 3.36-3.60, 1 Ho 3.52
Ho  0.0203  0.9797  0.2500  4 Er 3.32-3.41, 4 Tb 3.52
Ho  0.9797  0.0203  0.7500  4 Er 3.32-3.41, 4 Tb 3.52
Er  0.1995  0.2999  0.0508  5 Tb 3.15-3.42, 2 Ho 3.32-3.41, 1 Mg 3.46
Er  0.2999  0.1995  0.5508  5 Tb 3.15-3.42, 2 Ho 3.32-3.41, 1 Mg 3.46
Er  0.7001  0.8005  0.4492  5 Tb 3.15-3.42, 2 Ho 3.32-3.41, 1 Mg 3.46
Er  0.8005  0.7001  0.9492  5 Tb 3.15-3.42, 2 Ho 3.32-3.41, 1 Mg 3.46
Mg  0.4062  0.5938  0.7500  6 Tb 3.32-3.44, 2 Er 3.46
Mg  0.5938  0.4062  0.2500  6 Tb 3.32-3.44, 2 Er 3.46

* symmetry: No. 15
* raw total energy: -83.69 eV/cell

---

Record 7
A plane-wave DFT calculation with PBE was carried out for a relaxed TiTeO4 crystal.

abc: 5.2498 5.2498 9.5227
angles: 90.00 90.00 90.00
Last column: nearest neighbours and their distance in Å.
Sites, in units of the cell vectors:
Ti  0.0000  0.0000  0.0000  4 O 1.84
Ti  0.0000  0.0000  0.5000  4 O 1.84
Te  0.0000  0.5000  0.2500  4 O 2.04
Te  0.5000  0.0000  0.7500  4 O 2.04
O  0.1482  0.2457  0.3896  1 Ti 1.84, 1 Te 2.04
O  0.1482  0.7543  0.1104  1 Ti 1.84, 1 Te 2.04
O  0.2457  0.1482  0.8896  1 Ti 1.84, 1 Te 2.04
O  0.2457  0.8518  0.6104  1 Ti 1.84, 1 Te 2.04
O  0.7543  0.1482  0.6104  1 Ti 1.84, 1 Te 2.04
O  0.7543  0.8518  0.8896  1 Ti 1.84, 1 Te 2.04
O  0.8518  0.2457  0.1104  1 Ti 1.84, 1 Te 2.04
O  0.8518  0.7543  0.3896  1 Ti 1.84, 1 Te 2.04

* symmetry: No. 112
* raw total energy: -82.11 eV/cell

---

Record 8
A plane-wave DFT calculation with PBE was carried out for a relaxed Sr2TlP2 crystal.

abc: 7.8580 7.8580 4.3398
angles: 90.00 90.00 90.00
Last column: nearest neighbours and their distance in Å.
Sites, in units of the cell vectors:
Sr  0.1813  0.3187  0.0000  6 P 3.17-3.25
Sr  0.3187  0.8187  0.0000  6 P 3.17-3.25
Sr  0.6813  0.1813  0.0000  6 P 3.17-3.25
Sr  0.8187  0.6813  0.0000  6 P 3.17-3.25
Tl  0.0000  0.0000  0.5000  4 P 3.23, 8 Sr 3.61
Tl  0.5000  0.5000  0.5000  4 P 3.23, 8 Sr 3.61
P  0.1016  0.6016  0.5000  1 P 2.26
P  0.3984  0.1016  0.5000  1 P 2.26
P  0.6016  0.8984  0.5000  1 P 2.26
P  0.8984  0.3984  0.5000  1 P 2.26

* symmetry: No. 127
* raw total energy: -40.90 eV/cell
* E above lowest polymorph: 0 meV per atom

---

Record 9
A plane-wave DFT calculation with PBE was carried out for a relaxed HfScTlBi2 crystal.

abc: 5.7577 5.7577 5.3679
angles: 90.00 90.00 90.00
Last column: nearest neighbours and their distance in Å.
Sites, in units of the cell vectors:
Hf  0.0000  0.0000  0.0000  2 Tl 2.68
Sc  0.5000  0.5000  0.0000  8 Bi 3.94, 4 Hf 4.07
Tl  0.0000  0.0000  0.5000  2 Hf 2.68, 4 Bi 2.88
Bi  0.0000  0.5000  0.5000  2 Tl 2.88
Bi  0.5000  0.0000  0.5000  2 Tl 2.88

* symmetry: No. 123
* raw total energy: -21.24 eV/cell

---

Record 10
A plane-wave DFT calculation with PBE was carried out for a relaxed K4CePm3Te8 crystal.

abc: 9.8169 9.8169 9.8169
angles: 56.04 56.04 56.04
Last column: nearest neighbours and their distance in Å.
Sites, in units of the cell vectors:
K  0.0000  0.0000  0.0000  6 Te 3.54
K  0.0000  0.5000  0.5000  6 Te 3.56-3.57
K  0.5000  0.0000  0.5000  6 Te 3.56-3.57
K  0.5000  0.5000  0.0000  6 Te 3.56-3.57
Ce  0.5000  0.5000  0.5000  6 Te 3.21
Pm  0.0000  0.0000  0.5000  6 Te 3.19
Pm  0.0000  0.5000  0.0000  6 Te 3.19
Pm  0.5000  0.0000  0.0000  6 Te 3.19
Te  0.2355  0.7391  0.7391  2 Pm 3.19, 1 Ce 3.21, 3 K 3.54-3.57
Te  0.2377  0.2377  0.2377  3 Pm 3.19, 3 K 3.56
Te  0.2609  0.2609  0.7645  2 Pm 3.19, 1 Ce 3.21, 3 K 3.54-3.57
Te  0.2609  0.7645  0.2609  2 Pm 3.19, 1 Ce 3.21, 3 K 3.54-3.57
Te  0.7391  0.2355  0.7391  2 Pm 3.19, 1 Ce 3.21, 3 K 3.54-3.57
Te  0.7391  0.7391  0.2355  2 Pm 3.19, 1 Ce 3.21, 3 K 3.54-3.57
Te  0.7623  0.7623  0.7623  3 Pm 3.19, 3 K 3.56
Te  0.7645  0.2609  0.2609  2 Pm 3.19, 1 Ce 3.21, 3 K 3.54-3.57

* symmetry: No. 166
* raw total energy: -72.06 eV/cell

---

Record 11
A plane-wave DFT calculation with PBE was carried out for a relaxed ZrHg2Br crystal.

abc: 5.5504 5.5504 5.5504
angles: 132.01 132.01 70.22
Last column: nearest neighbours and their distance in Å.
Sites, in units of the cell vectors:
Zr  0.0000  0.0000  0.0000  8 Hg 3.19-3.20, 4 Br 3.20
Hg  0.5000  0.5000  0.0000  4 Zr 3.19, 4 Hg 3.20, 4 Br 3.20
Hg  0.7500  0.2500  0.5000  4 Br 3.19, 4 Hg 3.20, 4 Zr 3.20
Br  0.2500  0.7500  0.5000  8 Hg 3.19-3.20, 4 Zr 3.20

* symmetry: No. 119
* raw total energy: -10.80 eV/cell
* E above lowest polymorph: 392 meV per atom

---

Record 12
A plane-wave DFT calculation with PBE was carried out for a relaxed PrH8Ir2Pd crystal.

abc: 6.1556 6.1556 6.1556
angles: 46.38 46.38 46.38
Last column: nearest neighbours and their distance in Å.
Sites, in units of the cell vectors:
Pr  0.0000  0.0000  0.0000  6 H 2.41
H  0.1183  0.8105  0.4183  1 Ir 1.70, 1 Pd 1.88
H  0.1895  0.5817  0.8817  1 Ir 1.70, 1 Pd 1.88
H  0.3133  0.3133  0.3133  1 Ir 1.65
H  0.4183  0.1183  0.8105  1 Ir 1.70, 1 Pd 1.88
H  0.5817  0.8817  0.1895  1 Ir 1.70, 1 Pd 1.88
H  0.6867  0.6867  0.6867  1 Ir 1.65
H  0.8105  0.4183  0.1183  1 Ir 1.70, 1 Pd 1.88
H  0.8817  0.1895  0.5817  1 Ir 1.70, 1 Pd 1.88
Ir  0.2130  0.2130  0.2130  4 H 1.65-1.70
Ir  0.7870  0.7870  0.7870  4 H 1.65-1.70
Pd  0.5000  0.5000  0.5000  6 H 1.88

* symmetry: No. 148
* raw total energy: -56.42 eV/cell

---

What is the formula in the fourth record?
Ta2CoPb

---

Among the records above, which one has the lowest raw total energy?
KCeTa2O8

---

Among the records above, which one has the lowest raw total energy?
KCeTa2O8

---

Repeat the third record exactly.
A plane-wave DFT calculation with PBE was carried out for a relaxed Nb3RuS6 crystal.

abc: 5.8386 5.8409 6.8269
angles: 64.78 64.72 60.07
Last column: nearest neighbours and their distance in Å.
Sites, in units of the cell vectors:
Nb  0.0000  0.0000  0.0000  6 S 2.50
Nb  0.3333  0.3260  0.0070  6 S 2.48-2.55
Nb  0.6667  0.6740  0.9930  6 S 2.48-2.55
Ru  0.5000  0.5000  0.5000  6 S 2.39-2.40
S  0.0892  0.7553  0.7348  1 Ru 2.39, 3 Nb 2.48-2.55
S  0.2436  0.5794  0.2650  1 Ru 2.40, 3 Nb 2.50-2.54
S  0.4209  0.0879  0.7322  1 Ru 2.40, 3 Nb 2.48-2.53
S  0.5791  0.9121  0.2678  1 Ru 2.40, 3 Nb 2.48-2.53
S  0.7564  0.4206  0.7350  1 Ru 2.40, 3 Nb 2.50-2.54
S  0.9108  0.2447  0.2652  1 Ru 2.39, 3 Nb 2.48-2.55

* symmetry: No. 2
* raw total energy: -73.35 eV/cell